Entry 1:
First-principles (meta-GGA SCAN) data for a PBEsol-optimized structure of ScCrP, as listed in the Alexandria database.

Results
The value obtained for the magnetic moment is 4.0 μB/f.u. For the energy of formation from the pure elements, the calculation gives -0.36 eV/atom. Its electronic total energy is -14.698 eV per atom.

Structure (extended XYZ):
```
3
Lattice="-1.166 -3.880 0.925 2.845 -2.812 1.125 0.159 -1.336 3.932" Properties=species:S:1:pos:R:3 pbc="T T T"
Sc 0.919 -4.014 2.991
P 0.000 0.000 0.000
Cr 0.459 -2.007 1.495
```

***

Entry 2:
First-principles (meta-GGA SCAN) data for a PBEsol-optimized structure of ScCr2P, as listed in the Alexandria database.

Results
The value obtained for the magnetic moment is 0.0 μB/f.u. For the energy of formation from the pure elements, the calculation gives -0.08 eV/atom. Its electronic total energy is -15.427 eV per atom.

Structure (extended XYZ):
```
4
Lattice="3.165 0.000 0.000 0.000 4.070 0.000 -1.582 -2.035 4.030" Properties=species:S:1:pos:R:3 pbc="T T T"
Sc 0.000 2.035 2.069
Cr 1.582 0.000 1.939
Cr 0.000 0.000 0.153
P 0.000 0.000 3.899
```

***

Entry 3:
First-principles (meta-GGA SCAN) data for a PBEsol-optimized structure of ScCrP, as listed in the Alexandria database.

Results
The value obtained for the magnetic moment is 5.3 μB/f.u. For the energy of formation from the pure elements, the calculation gives -0.07 eV/atom. Its electronic total energy is -14.415 eV per atom.

Structure (extended XYZ):
```
3
Lattice="-3.174 0.792 2.845 -3.749 -2.160 -0.277 -1.019 -2.967 2.993" Properties=species:S:1:pos:R:3 pbc="T T T"
Cr 0.000 0.000 0.000
Sc -1.985 -1.084 1.390
P -3.971 -2.168 2.780
```

***

Entry 4:
First-principles (meta-GGA SCAN) data for a PBEsol-optimized structure of CrPSe2, as listed in the Alexandria database.

Results
The value obtained for the magnetic moment is 3.7 μB/f.u. The calculation puts the uncorrected formation energy at 0.30 eV per atom. Its electronic total energy is -16.933 eV per atom.

Structure (extended XYZ):
```
4
Lattice="3.203 0.000 0.000 0.000 4.564 0.000 0.000 0.000 4.564" Properties=species:S:1:pos:R:3 pbc="T T T"
Cr 1.601 2.282 2.282
Se 0.000 0.000 2.282
P 1.601 0.000 0.000
Se 0.000 2.282 0.000
```

***

Entry 5:
First-principles (meta-GGA SCAN) data for a PBEsol-optimized structure of CrPSe4, as listed in the Alexandria database.

Results
The value obtained for the magnetic moment is 3.8 μB/f.u. The calculation puts the uncorrected formation energy at 0.95 eV per atom. Its electronic total energy is -17.234 eV per atom.

Structure (extended XYZ):
```
6
Lattice="-4.256 0.405 3.491 -0.262 -3.289 4.424 0.762 2.098 5.048" Properties=species:S:1:pos:R:3 pbc="T T T"
Se -2.217 1.155 5.889
Cr -0.939 -0.197 3.241
P 0.000 0.000 0.000
Se -2.348 -0.492 8.105
Se -0.217 -0.694 6.356
Se -2.729 -1.542 5.577
```

***

Entry 6:
First-principles (meta-GGA SCAN) data for a PBEsol-optimized structure of CrPSe2, as listed in the Alexandria database.

Results
The value obtained for the magnetic moment is 0.0 μB/f.u. The calculation puts the uncorrected formation energy at 0.41 eV per atom. Its electronic total energy is -16.822 eV per atom.

Structure (extended XYZ):
```
4
Lattice="-2.726 -0.104 0.756 0.684 -1.575 2.251 1.013 7.042 4.619" Properties=species:S:1:pos:R:3 pbc="T T T"
Se 0.180 1.251 0.820
P -0.515 2.682 3.813
Se 0.833 5.791 3.798
Cr -1.021 -0.839 1.504
```

***

Entry 7:
First-principles (meta-GGA SCAN) data for a PBEsol-optimized structure of CrPSe2, as listed in the Alexandria database.

Results
The value obtained for the magnetic moment is 1.7 μB/f.u. The calculation puts the uncorrected formation energy at 0.26 eV per atom. Its electronic total energy is -16.978 eV per atom.

Structure (extended XYZ):
```
4
Lattice="3.061 0.000 0.000 1.531 2.651 0.000 1.531 0.884 8.033" Properties=species:S:1:pos:R:3 pbc="T T T"
Cr 3.061 1.767 4.016
Se 4.592 2.651 5.645
Se 1.531 0.884 2.387
P 0.000 0.000 0.000
```

***

Entry 8:
First-principles (meta-GGA SCAN) data for a PBEsol-optimized structure of CrSiP, as listed in the Alexandria database.

Results
The value obtained for the magnetic moment is 1.3 μB/f.u. The calculation puts the uncorrected formation energy at 0.24 eV per atom. The energy above the most stable polymorph in this dataset comes out at 0 meV per atom. Its electronic total energy is -12.690 eV per atom.

Structure (extended XYZ):
```
3
Lattice="2.524 0.000 0.000 0.000 4.091 0.000 0.000 -2.045 3.543" Properties=species:S:1:pos:R:3 pbc="T T T"
P 2.104 0.000 2.362
Si 0.839 2.046 1.181
Cr 2.104 0.000 0.000
```

***

Entry 9:
First-principles (meta-GGA SCAN) data for a PBEsol-optimized structure of CrSiP, as listed in the Alexandria database.

Results
The value obtained for the magnetic moment is 1.7 μB/f.u. The calculation puts the uncorrected formation energy at 0.30 eV per atom. The energy above the most stable polymorph in this dataset comes out at 56 meV per atom. Its electronic total energy is -12.634 eV per atom.

Structure (extended XYZ):
```
9
Lattice="-3.067 0.668 0.471 -0.549 -5.160 3.749 1.621 5.646 2.543" Properties=species:S:1:pos:R:3 pbc="T T T"
Cr 0.281 0.127 1.648
P -0.857 0.642 4.210
P -1.736 -1.567 1.616
Si -1.534 0.334 0.235
Cr -0.405 -3.808 2.767
Si 0.898 2.044 2.945
P -0.937 2.414 1.172
Cr 1.196 4.167 1.877
Si 0.174 -1.558 3.347
```

***

Entry 10:
First-principles (meta-GGA SCAN) data for a PBEsol-optimized structure of CrSi2P, as listed in the Alexandria database.

Results
The value obtained for the magnetic moment is 0.0 μB/f.u. The calculation puts the uncorrected formation energy at 0.50 eV per atom. Its electronic total energy is -11.704 eV per atom.

Structure (extended XYZ):
```
4
Lattice="-0.727 -2.735 -2.985 2.573 -3.159 -0.567 -1.191 -3.820 0.955" Properties=species:S:1:pos:R:3 pbc="T T T"
Cr 0.328 -4.857 -1.299
P 0.164 -2.428 -0.649
Si 0.000 0.000 0.000
Si 0.492 -7.285 -1.948
```

***

Entry 11:
First-principles (meta-GGA SCAN) data for a PBEsol-optimized structure of CrSi2P, as listed in the Alexandria database.

Results
The value obtained for the magnetic moment is 0.0 μB/f.u. The calculation puts the uncorrected formation energy at 0.28 eV per atom. Its electronic total energy is -11.923 eV per atom.

Structure (extended XYZ):
```
4
Lattice="-1.287 1.050 -2.409 0.875 -0.909 -2.641 -4.791 -5.117 -1.448" Properties=species:S:1:pos:R:3 pbc="T T T"
P 0.000 0.000 0.000
Si -1.317 -1.262 -1.624
Si -3.887 -3.713 -4.874
Cr -2.602 -2.488 -3.249
```

***

Entry 12:
First-principles (meta-GGA SCAN) data for a PBEsol-optimized structure of CrSn3P, as listed in the Alexandria database.

Results
The value obtained for the magnetic moment is 3.0 μB/f.u. For the energy of formation from the pure elements, the calculation gives 0.54 eV/atom. Its electronic total energy is -26.770 eV per atom.

Structure (extended XYZ):
```
5
Lattice="-0.973 -2.459 -4.213 -2.261 -3.579 2.612 -4.323 2.426 -0.417" Properties=species:S:1:pos:R:3 pbc="T T T"
Sn -1.130 -1.790 1.306
Sn -0.487 -1.230 -2.106
Sn -2.161 1.213 -0.209
Cr 0.000 0.000 0.000
P -3.778 -1.806 -1.009
```